Record 1
{"formula": "HfMgGa2O6", "functional": "PBE-GGA", "state": "optimized geometry", "magnetic_moment_mub_per_fu": 0.0, "formation_energy_uncorrected_mev_per_atom": -2473, "lattice_angstrom": [[-1.3346, -5.0069, -0.2758], [1.5586, -2.8828, -4.0235], [3.9393, -3.7882, 0.8940]], "species": ["O", "O", "O", "O", "O", "O", "Hf", "Mg", "Ga", "Ga"], "frac_coords": [[0.7234, 0.1253, 0.7527], [0.9002, 0.6192, 0.2511], [0.6192, 0.2295, 0.2510], [0.3985, 0.7234, 0.7528], [0.2295, 0.9002, 0.2511], [0.1254, 0.3985, 0.7527], [0.3085, 0.3085, 0.0744], [0.8115, 0.8115, 0.5658], [0.5197, 0.5196, 0.4411], [0.0258, 0.0259, 0.9225]]}

Record 2
{"formula": "CdAsW2C", "functional": "PBE-GGA", "state": "optimized geometry", "magnetic_moment_mub_per_fu": 0.0, "ef_ev_per_fu": 13.8, "lattice_angstrom": [[-2.1118, 2.6799, -3.1415], [-4.1896, -2.6028, 0.5960], [-1.3244, 2.9026, 3.3663]], "species": ["As", "Cd", "C", "W", "W"], "frac_coords": [[0.0000, 0.0000, 0.0000], [0.0000, 0.5000, 0.0000], [0.5000, 0.5000, 0.5000], [0.0000, 0.0000, 0.5000], [0.5000, 0.0000, 0.0000]]}

Record 3
{"formula": "Tb3Al7Pd2", "functional": "PBE-GGA", "state": "optimized geometry", "magnetic_moment_mub_per_fu": 0.0, "ef_ev_per_fu": -8.4, "lattice_angstrom": [[5.5244, 0.0000, 0.0000], [2.7622, 4.7843, 0.0000], [2.7622, 1.5948, 8.6879]], "species": ["Al", "Al", "Al", "Al", "Al", "Al", "Al", "Tb", "Tb", "Tb", "Pd", "Pd"], "frac_coords": [[0.5000, 0.5000, 0.5000], [0.4170, 0.4170, 0.2388], [0.9272, 0.4170, 0.2388], [0.0728, 0.5830, 0.7612], [0.5830, 0.0728, 0.7612], [0.4170, 0.9272, 0.2388], [0.5830, 0.5830, 0.7612], [0.8563, 0.8563, 0.4310], [0.0000, 0.0000, 0.0000], [0.1437, 0.1437, 0.5690], [0.3358, 0.3358, 0.9926], [0.6642, 0.6642, 0.0074]]}

Volume for every record listed, in sequence, given in Å³/atom: 10.86, 21.37, 19.14.